No. 1
Here is an optimized crystal structure of BeCoBr2 from the Alexandria database. Energies are from GGA-PBE.

The formation energy without anion corrections comes out at 500 meV/atom. The value obtained for the energy relative to the lowest polymorph listed for this composition is 573.9 meV/atom. Its volume is 81 Å³ per cell. The crystal system is monoclinic. As for the density of states at the Fermi level: 5.405 states/eV/cell. As for the total energy: -3.04 eV/atom.

It has space group P2/m (No. 10), with a = 4.947 Å, b = 3.302 Å, c = 4.981 Å, α = 90.00°, β = 92.43° and γ = 90.00°. The asymmetric unit holds Be at (0.000, 0.000, 0.000), Co at (0.500, 0.000, 0.500) and Br at (0.232, 0.500, 0.767).

=====

No. 2
Here is an optimized crystal structure of BeCoBr3 from the Alexandria database. Energies are from GGA-PBE.

The formation energy without anion corrections comes out at 481 meV/atom. The value obtained for the energy relative to the lowest polymorph listed for this composition is 183.1 meV/atom. Its volume is 119 Å³ per cell. The crystal system is cubic. As for the density of states at the Fermi level: 6.316 states/eV/cell. As for the total energy: -2.69 eV/atom.

It has space group Pm-3m (No. 221), with a = 4.924 Å, b = 4.924 Å, c = 4.924 Å, α = 90.00°, β = 90.00° and γ = 90.00°. The asymmetric unit holds Be at (0.000, 0.000, 0.000), Co at (0.500, 0.500, 0.500) and Br at (0.000, 0.500, 0.500).

=====

No. 3
Here is an optimized crystal structure of BeCoBr2 from the Alexandria database. Energies are from GGA-PBE.

The formation energy without anion corrections comes out at 174 meV/atom. The value obtained for the energy relative to the lowest polymorph listed for this composition is 247.6 meV/atom. Its volume is 191 Å³ per cell. The crystal system is orthorhombic. As for the density of states at the Fermi level: 11.736 states/eV/cell. As for the total energy: -3.37 eV/atom.

It has space group Cmm2 (No. 35), with a = 3.220 Å, b = 6.607 Å, c = 8.999 Å, α = 90.00°, β = 90.00° and γ = 90.00°. The asymmetric unit holds Be at (0.000, 0.000, 0.000), Co at (0.000, 0.500, 0.800), Br at (0.000, 0.000, 0.609) and Br at (0.000, 0.500, 0.163).

=====

No. 4
Here is an optimized crystal structure of BeCoBr from the Alexandria database. Energies are from GGA-PBE.

The formation energy without anion corrections comes out at 800 meV/atom. The value obtained for the energy relative to the lowest polymorph listed for this composition is 980.9 meV/atom. Its volume is 43 Å³ per cell. The crystal system is trigonal. As for the density of states at the Fermi level: 2.273 states/eV/cell. As for the total energy: -3.37 eV/atom.

It has space group P3m1 (No. 156), with a = 3.8978 Å, b = 3.8978 Å, c = 3.2835 Å, α = 90.00°, β = 90.00° and γ = 120.00°. The asymmetric unit holds Be at (0.0000, 0.0000, 0.0000), Co at (0.3333, 0.6667, 0.9193) and Br at (0.6667, 0.3333, 0.6411).

=====

No. 5
Here is an optimized crystal structure of BeCoBr2 from the Alexandria database. Energies are from GGA-PBE.

The formation energy without anion corrections comes out at 303 meV/atom. The value obtained for the energy relative to the lowest polymorph listed for this composition is 376.6 meV/atom. Its volume is 223 Å³ per cell. The crystal system is trigonal. As for the density of states at the Fermi level: 4.544 states/eV/cell. As for the total energy: -3.24 eV/atom.

It has space group R-3m (No. 166, hexagonal axes), with a = 3.4099 Å, b = 3.4099 Å, c = 22.1171 Å, α = 90.00°, β = 90.00° and γ = 120.00°. The asymmetric unit holds Be at (0.0000, 0.0000, 0.0000), Co at (0.0000, 0.0000, 0.5000) and Br at (0.0000, 0.0000, 0.3960).

=====

No. 6
Here is an optimized crystal structure of BeCo3Br from the Alexandria database. Energies are from GGA-PBE.

The formation energy without anion corrections comes out at 1364 meV/atom. The value obtained for the energy relative to the lowest polymorph listed for this composition is 532.6 meV/atom. Its volume is 77 Å³ per cell. The crystal system is cubic. As for the density of states at the Fermi level: 5.686 states/eV/cell. As for the total energy: -3.98 eV/atom.

It has space group Pm-3m (No. 221), with a = 4.263 Å, b = 4.263 Å, c = 4.263 Å, α = 90.00°, β = 90.00° and γ = 90.00°. The asymmetric unit holds Be at (0.000, 0.000, 0.000), Co at (0.000, 0.500, 0.500) and Br at (0.500, 0.500, 0.500).

=====

No. 7
Here is an optimized crystal structure of BeCoBr from the Alexandria database. Energies are from GGA-PBE.

The formation energy without anion corrections comes out at -142 meV/atom. The value obtained for the energy relative to the lowest polymorph listed for this composition is 39.4 meV/atom. Its volume is 201 Å³ per cell. The crystal system is monoclinic. As for the density of states at the Fermi level: 1.703 states/eV/cell. As for the total energy: -4.31 eV/atom.

It has space group Cm (No. 8), with a = 6.180 Å, b = 3.568 Å, c = 9.382 Å, α = 90.00°, β = 103.25° and γ = 90.00°. The asymmetric unit holds Be at (0.000, 0.000, 0.000), Be at (0.167, 0.500, 0.001), Co at (0.290, 0.000, 0.875), Co at (0.377, 0.000, 0.125), Br at (0.066, 0.500, 0.711) and Br at (0.267, 0.500, 0.289).

=====

No. 8
Here is an optimized crystal structure of BeCoBr from the Alexandria database. Energies are from GGA-PBE.

The formation energy without anion corrections comes out at -181 meV/atom. The value obtained for the energy relative to the lowest polymorph listed for this composition is 0.0 meV/atom. Its volume is 99 Å³ per cell. The crystal system is monoclinic. As for the density of states at the Fermi level: 1.252 states/eV/cell. As for the total energy: -4.35 eV/atom.

It has space group P2_1/m (No. 11), with a = 3.245 Å, b = 3.463 Å, c = 8.938 Å, α = 90.00°, β = 100.19° and γ = 90.00°. The asymmetric unit holds Be at (0.037, 0.250, 0.077), Co at (0.450, 0.250, 0.900) and Br at (0.354, 0.750, 0.709).

=====

Q: The highest formation energy without anion corrections belongs to which entry?
A: BeCo3Br

=====

Q: The lowest energy relative to the lowest polymorph listed for this composition belongs to which entry?
A: number 8